1.
GaNiO3 | PBE with a Hubbard U | optimized geometry

Cell and atoms, written as POSCAR:
```
GaNiO3
1.0
3.655 0.000 0.000
0.000 3.655 0.000
0.000 0.000 3.655
Ni O Ga
1 3 1
Direct
0.000 0.000 0.000 Ni
0.000 0.500 0.000 O
0.500 0.000 0.000 O
0.000 0.000 0.500 O
0.500 0.500 0.500 Ga
```

Values from the calculation:
ρ (g cm⁻³): 6.00
Energy (eV for the cell shown): -22.14

2.
GaNi2O | PBE with a Hubbard U | optimized geometry

Cell and atoms, written as POSCAR:
```
GaNi2O
1.0
4.632 0.000 0.000
0.000 4.632 0.000
2.316 2.316 5.561
Ga Ni O
2 4 2
Direct
0.750 0.250 0.500 Ga
0.000 0.000 0.000 Ga
0.493 0.125 0.250 Ni
0.257 0.625 0.250 Ni
0.375 0.507 0.750 Ni
0.875 0.743 0.750 Ni
0.500 0.500 0.000 O
0.250 0.750 0.500 O
```

Values from the calculation:
ρ (g cm⁻³): 5.65
Polymorph energy (0 for the lowest one) (meV/atom): 0

3.
Ga3NiO | PBE with a Hubbard U | optimized geometry

Cell and atoms, written as POSCAR:
```
Ga3NiO
1.0
-2.642 1.419 3.046
0.011 -3.871 1.812
3.360 1.127 2.389
Ga Ni O
3 1 1
Direct
0.000 0.500 0.000 Ga
0.500 0.000 0.000 Ga
0.000 0.000 0.500 Ga
0.500 0.500 0.500 Ni
0.000 0.000 0.000 O
```

Values from the calculation:
ρ (g cm⁻³): 6.04
Energy (eV for the cell shown): -15.29

4.
GaNi2O | PBE with a Hubbard U | optimized geometry

Cell and atoms, written as POSCAR:
```
GaNi2O
1.0
0.000 2.797 2.797
2.797 0.000 2.797
2.797 2.797 0.000
Ni Ga O
2 1 1
Direct
0.250 0.250 0.250 Ni
0.750 0.750 0.750 Ni
0.500 0.500 0.500 Ga
0.000 0.000 0.000 O
```

Values from the calculation:
ρ (g cm⁻³): 7.71
Polymorph energy (0 for the lowest one) (meV/atom): 616

> ρ of number 3 (Ga3NiO)?

6.04 g cm⁻³

> The lowest ρ belongs to which entry?

number 2

> Which value of ρ does entry 4 give?

7.71 g cm⁻³

> What is the ρ in the third record?

6.04 g cm⁻³